First-principles (PBE-GGA) data for an optimized crystal structure of NaTaN2, as listed in Alexandria via LeMat-Bulk.

- magnetization (μB/f.u.) = 0.00
- total energy (eV/atom) = -8.3632
- crystal system = tetragonal

a b c (Å): 5.850 5.850 5.850
angles (deg): 125.34 125.34 80.98
Positions (direct):
Na (0.000, 0.000, 0.000)
Na (0.750, 0.250, 0.500)
Ta (0.250, 0.750, 0.500)
Ta (0.500, 0.500, 0.000)
N (0.212, 0.625, 0.087)
N (0.375, 0.462, 0.587)
N (0.538, 0.125, 0.913)
N (0.875, 0.788, 0.413)